Computed, not measured: a geometry-optimized BeCoN3 structure at the PBE-GGA level of DFT.

Cell lengths 3.382, 3.382, 3.382 Å; angles 90.00, 90.00, 90.00 degrees
Atoms (fractional coordinates):
Be  0.000  0.000  0.000
Co  0.500  0.500  0.500
N  0.000  0.000  0.500
N  0.000  0.500  0.000
N  0.500  0.000  0.000

## Properties
VASP energy   -5.60 eV/atom
SG   No. 221
Raw formation energy   1.561 eV per atom